This record from OQMD via LeMat-Bulk describes a geometry-optimized GdEr2Ga3AgPd2 structure. The functional is GGA-PBE.

Results
- calculated density (g/cm3) = 9.330
- SG = Amm2
- energy (eV/atom) = -4.75

Unit cell a=3.7037 b=7.5363 c=7.5363 alpha=120.19 beta=90.00 gamma=90.00
With the nearest neighbours (Å) after each atom.
Fractional positions:
Ag1 0.0000 0.9982 0.9982  6 Ga 2.73-2.76
Er1 0.0000 0.5927 0.0002  4 Pd 2.92-2.93, 4 Ga 3.05-3.27, 1 Ag 3.06
Er2 0.0000 0.0002 0.5927  4 Pd 2.92-2.93, 4 Ga 3.05-3.27, 1 Ag 3.06
Ga1 0.5000 0.9984 0.2701  2 Pd 2.74-2.79, 2 Ag 2.76, 2 Er 3.05
Ga2 0.5000 0.7309 0.7309  2 Ag 2.73, 2 Pd 2.80, 2 Gd 3.05
Ga3 0.5000 0.2701 0.9984  2 Pd 2.74-2.79, 2 Ag 2.76, 2 Er 3.05
Gd1 0.0000 0.4081 0.4081  4 Pd 2.96, 6 Ga 3.05-3.29, 1 Ag 3.08
Pd1 0.5000 0.6696 0.3319  3 Ga 2.74-2.80, 4 Er 2.92-2.93, 2 Gd 2.96
Pd2 0.5000 0.3319 0.6696  3 Ga 2.74-2.80, 4 Er 2.92-2.93, 2 Gd 2.96